Entry from the Alexandria database: crystalline MgMnV3 at its relaxed geometry (GGA-PBE).

## Properties
Total magnetization (μB/cell): 0.0

Cell lengths 4.364, 4.364, 4.364 Å; angles 90.00, 90.00, 90.00 degrees
Space group Pm-3m (No. 221)
Asymmetric unit:
1 Mg 0.000 0.000 0.000 [1 per cell]
2 Mn 0.500 0.500 0.500 [1 per cell]
3 V 0.000 0.500 0.500 [3 per cell]

---

Entry from the Alexandria database: crystalline MgMn3V at its relaxed geometry (GGA-PBE).

## Properties
Total magnetization (μB/cell): 7.3

Cell lengths 4.448, 4.448, 4.448 Å; angles 90.00, 90.00, 90.00 degrees
Space group Pm-3m (No. 221)
Asymmetric unit:
1 Mg 0.000 0.000 0.000 [1 per cell]
2 Mn 0.000 0.500 0.500 [3 per cell]
3 V 0.500 0.500 0.500 [1 per cell]

---

Number 1: DOS at the Fermi energy 5.67 states/eV per cell, ΔE_f 0.66 eV per atom. Number 2: DOS at the Fermi energy 5.44 states/eV per cell, ΔE_f 0.79 eV per atom.